Record 1
Compound: Tb2SmCu3
Source: Alexandria
Functional: GGA-PBE
Structure: relaxed

a = 3.4967 Å, b = 3.4967 Å, c = 10.5417 Å
α = 90.00°, β = 90.00°, γ = 90.00°
Fractional coordinates of all 6 atoms:
Tb  0.5000  0.5000  0.8353
Tb  0.5000  0.5000  0.1647
Sm  0.5000  0.5000  0.5000
Cu  0.0000  0.0000  0.0000
Cu  0.0000  0.0000  0.6735
Cu  0.0000  0.0000  0.3265

crystal system: tetragonal
energy relative to the elements: -0.222 eV per atom
density of states at the Fermi level: 2.808 states/eV per cell

=====

Record 2
Compound: DySb3S6
Source: Alexandria
Functional: GGA-PBE
Structure: relaxed

a = 3.8510 Å, b = 11.8697 Å, c = 11.4878 Å
α = 102.12°, β = 90.00°, γ = 90.00°
Fractional coordinates of all 20 atoms:
Dy  0.7500  0.0284  0.6849
Dy  0.2500  0.9716  0.3151
Sb  0.7500  0.4171  0.8357
Sb  0.2500  0.5829  0.1643
Sb  0.7500  0.7140  0.4727
Sb  0.2500  0.2860  0.5273
Sb  0.7500  0.1557  0.0921
Sb  0.2500  0.8443  0.9079
S  0.7500  0.4370  0.6192
S  0.2500  0.5630  0.3808
S  0.7500  0.9549  0.1233
S  0.2500  0.0451  0.8767
S  0.7500  0.4388  0.1180
S  0.2500  0.5612  0.8820
S  0.7500  0.7899  0.2867
S  0.2500  0.2101  0.7133
S  0.7500  0.1037  0.4619
S  0.2500  0.8963  0.5381
S  0.7500  0.8022  0.7582
S  0.2500  0.1978  0.2418

crystal system: monoclinic
relative energy among the computed polymorphs: 0.0000 eV per atom
uncorrected formation energy: -68 kJ per mole of atoms

=====

Going through the records in order, we get spin magnetization values of 0.00; 0.00 μB per cell.